Li7Co5O12 after structural relaxation. Source: the Alexandria database, functional PBE with a Hubbard U.

- excess energy over the best structure of this formula in the dataset (meV/atom) = 105
- N(E_F) (states/eV/cell) = 2.87

Unit cell a=14.723 b=14.723 c=5.039 alpha=80.98 beta=80.98 gamma=11.32
Fractional coordinates of all 24 atoms:
Co (0.835, 0.835, 0.838)
Co (0.665, 0.665, 0.662)
Co (0.000, 0.000, 0.000)
Co (0.165, 0.165, 0.162)
Co (0.335, 0.335, 0.338)
Li (0.420, 0.420, 0.923)
Li (0.580, 0.580, 0.077)
Li (0.920, 0.920, 0.431)
Li (0.750, 0.750, 0.249)
Li (0.250, 0.250, 0.751)
Li (0.080, 0.080, 0.569)
Li (0.500, 0.500, 0.500)
O (0.963, 0.963, 0.747)
O (0.796, 0.796, 0.535)
O (0.536, 0.536, 0.814)
O (0.204, 0.204, 0.465)
O (0.705, 0.705, 0.955)
O (0.625, 0.625, 0.371)
O (0.127, 0.127, 0.856)
O (0.464, 0.464, 0.186)
O (0.037, 0.037, 0.253)
O (0.295, 0.295, 0.045)
O (0.375, 0.375, 0.629)
O (0.873, 0.873, 0.144)